Record 1
MgBi2Pd8: optimized geometry, PBE.

abc: 4.0578 7.9371 12.2116
angles: 90.00 90.00 90.00
Space group Immm (No. 71)
Unique sites:
Mg 0.0000 0.0000 0.0000 x2
Bi 0.0000 0.0000 0.3404 x4
Pd 0.0000 0.2504 0.1634 x8
Pd 0.0000 0.2539 0.5000 x4
Pd 0.0000 0.5000 0.3376 x4

Properties
Energy above the most stable polymorph in this dataset, eV/atom: 0.0000
Crystal system: orthorhombic

Record 2
KBi2Rh: optimized geometry, PBE.

abc: 4.4919 4.4919 21.3085
angles: 90.00 90.00 120.00
Space group R-3m (No. 166, hexagonal axes)
Unique sites:
K 0.0000 0.0000 0.0000 x3
Bi 0.0000 0.0000 0.2162 x6
Rh 0.0000 0.0000 0.5000 x3

Properties
Energy above the most stable polymorph in this dataset, eV/atom: 0.0000
Crystal system: trigonal

Record 3
Ga3CS: optimized geometry, PBE.

abc: 4.9413 4.9413 4.9413
angles: 90.00 90.00 90.00
Space group Pm-3m (No. 221)
Unique sites:
Ga 0.0000 0.0000 0.5000 x3
C 0.5000 0.5000 0.5000 x1
S 0.0000 0.0000 0.0000 x1

Properties
Energy above the most stable polymorph in this dataset, eV/atom: 1.0275
E_form (uncorrected), kJ/mol of atoms: 153.3
Crystal system: cubic

Record 4
Pr3Sm2Dy2: optimized geometry, PBE.

abc: 17.8151 3.5574 8.6845
angles: 90.00 118.79 90.00
Space group C2/m (No. 12)
Unique sites:
Pr 0.0000 0.0000 0.0000 x2
Pr 0.2134 0.0000 0.2973 x4
Sm 0.0643 0.5000 0.4106 x4
Dy 0.1458 0.0000 0.8285 x4

Properties
Energy above the most stable polymorph in this dataset, eV/atom: 0.0955
Crystal system: monoclinic

Record 5
Mo2OsRu5: optimized geometry, PBE.

abc: 5.4669 5.4669 7.7166
angles: 90.00 90.00 90.00
Space group I4/mmm (No. 139)
Unique sites:
Mo 0.0000 0.5000 0.0000 x4
Os 0.0000 0.0000 0.0000 x2
Ru 0.0000 0.0000 0.5000 x2
Ru 0.2500 0.2500 0.2500 x8

Properties
Crystal system: tetragonal
Final energy, eV/atom: -9.907

Record 6
RbTaAg3: optimized geometry, PBE.

abc: 5.3761 5.3761 5.3761
angles: 90.00 90.00 90.00
Space group Pm-3m (No. 221)
Unique sites:
Rb 0.0000 0.0000 0.0000 x1
Ta 0.5000 0.5000 0.5000 x1
Ag 0.0000 0.0000 0.5000 x3

Properties
Energy above the most stable polymorph in this dataset, eV/atom: 1.1648
Crystal system: cubic

Record 7
CsLaTe4: optimized geometry, PBE.

abc: 7.0395 7.0395 9.7625
angles: 90.00 90.00 90.00
Space group P4/nbm (No. 125, origin choice 2)
Unique sites:
Cs 0.2500 0.2500 0.0000 x2
La 0.2500 0.2500 0.5000 x2
Te 0.1079 0.6079 0.3000 x8

Properties
E_form (uncorrected), kJ/mol of atoms: -99.4
Crystal system: tetragonal

Record 8
LaPmZn: optimized geometry, PBE.

abc: 3.7493 3.7493 12.4484
angles: 90.00 90.00 90.00
Space group I4mm (No. 107)
Unique sites:
La 0.0000 0.0000 0.0000 x2
Pm 0.0000 0.0000 0.2880 x2
Zn 0.0000 0.0000 0.6529 x2

Properties
Energy above the most stable polymorph in this dataset, eV/atom: 0.0000
Crystal system: tetragonal

Record 9
Sr2GeTePt: optimized geometry, PBE.

abc: 5.9843 5.9843 4.6241
angles: 90.00 90.00 90.00
Space group P4/mmm (No. 123)
Unique sites:
Sr 0.0000 0.5000 0.0000 x2
Ge 0.0000 0.0000 0.5000 x1
Te 0.5000 0.5000 0.5000 x1
Pt 0.0000 0.0000 0.0000 x1

Properties
E_form (uncorrected), kJ/mol of atoms: -88.6
Crystal system: tetragonal

Record 10
MgAg5Pd6: optimized geometry, PBE.

abc: 4.1093 12.2204 7.8588
angles: 90.00 90.00 90.00
Space group Cmmm (No. 65)
Unique sites:
Mg 0.0000 0.0000 0.0000 x2
Ag 0.0000 0.0000 0.5000 x2
Ag 0.0000 0.3322 0.0000 x4
Ag 0.0000 0.3339 0.5000 x4
Pd 0.0000 0.1649 0.2472 x8
Pd 0.0000 0.5000 0.2435 x4

Properties
Crystal system: orthorhombic
Final energy, eV/atom: -4.077

Record 11
CrIn2C: optimized geometry, PBE.

abc: 8.9436 8.9436 3.9122
angles: 90.00 90.00 90.00
Space group I-42d (No. 122)
Unique sites:
Cr 0.0000 0.0000 0.0000 x4
In 0.1172 0.2500 0.6250 x8
C 0.0000 0.0000 0.5000 x4

Properties
Crystal system: tetragonal
Final energy, eV/atom: -5.348

Record 12
HfPd3Au4: optimized geometry, PBE.

abc: 2.9880 8.6556 11.2770
angles: 90.00 90.00 90.00
Space group Immm (No. 71)
Unique sites:
Hf 0.0000 0.0000 0.0000 x2
Pd 0.0000 0.0000 0.5000 x2
Pd 0.0000 0.5000 0.3043 x4
Au 0.0000 0.2749 0.1293 x8

Properties
Crystal system: orthorhombic
Final energy, eV/atom: -5.002

Record 13
Tc2PbClO8: optimized geometry, PBE.

abc: 11.9063 6.8234 6.5298
angles: 90.00 107.62 90.00
Space group C2/m (No. 12)
Unique sites:
Tc 0.1958 0.0000 0.1029 x4
Pb 0.0000 0.5000 0.0000 x2
Cl 0.0000 0.0000 0.5000 x2
O 0.1318 0.2108 0.1726 x8
O 0.1508 0.5000 0.7804 x4
O 0.1701 0.0000 0.8283 x4

Properties
E_form (uncorrected), kJ/mol of atoms: -109.3
Crystal system: monoclinic

Record 14
BeTlSbTe3: optimized geometry, PBE.

abc: 9.8495 4.2486 9.8734
angles: 90.00 106.16 90.00
Space group P2_1/m (No. 11)
Unique sites:
Be 0.0746 0.2500 0.0912 x2
Tl 0.1877 0.2500 0.7189 x2
Sb 0.3348 0.7500 0.3639 x2
Te 0.1097 0.2500 0.3499 x2
Te 0.1854 0.7500 0.0218 x2
Te 0.4458 0.7500 0.6715 x2

Properties
E_form (uncorrected), kJ/mol of atoms: -21.3
Crystal system: monoclinic

Record 15
Ba2InHg: optimized geometry, PBE.

abc: 8.2752 8.2752 8.2752
angles: 90.00 90.00 90.00
Space group F-43m (No. 216)
Unique sites:
Ba 0.0000 0.0000 0.0000 x4
Ba 0.2500 0.2500 0.2500 x4
In 0.2500 0.2500 0.7500 x4
Hg 0.0000 0.0000 0.5000 x4

Properties
Crystal system: cubic
Final energy, eV/atom: -1.957

Record 16
LiTaSbI2: optimized geometry, PBE.

abc: 5.7032 5.7032 5.3962
angles: 90.00 90.00 90.00
Space group P4/mmm (No. 123)
Unique sites:
Li 0.0000 0.0000 0.0000 x1
Ta 0.5000 0.5000 0.5000 x1
Sb 0.5000 0.5000 0.0000 x1
I 0.0000 0.5000 0.5000 x2

Properties
Energy above the most stable polymorph in this dataset, eV/atom: 0.0000
E_form (uncorrected), kJ/mol of atoms: 17.4
Crystal system: tetragonal

Record 17
TlBi2P2: optimized geometry, PBE.

abc: 5.2715 5.2715 10.7370
angles: 90.00 90.00 90.00
Space group I4/mmm (No. 139)
Unique sites:
Tl 0.0000 0.0000 0.0000 x2
Bi 0.0000 0.0000 0.3436 x4
P 0.0000 0.5000 0.2500 x4

Properties
Energy above the most stable polymorph in this dataset, eV/atom: 0.0147
Crystal system: tetragonal

Record 18
ScGaBr: optimized geometry, PBE.

abc: 6.8868 3.9796 11.2189
angles: 90.00 102.04 90.00
Space group Cm (No. 8)
Unique sites:
Sc 0.0000 0.0000 0.0000 x2
Sc 0.1220 0.0000 0.3591 x2
Ga 0.2177 0.5000 0.1506 x2
Ga 0.4034 0.0000 0.2073 x2
Br 0.0091 0.5000 0.5176 x2
Br 0.2826 0.0000 0.8519 x2

Properties
E_form (uncorrected), kJ/mol of atoms: -95.9
Crystal system: monoclinic

Record 19
BeOs: optimized geometry, PBE.

abc: 3.7931 3.7931 4.3527
angles: 90.00 90.00 120.00
Space group P6_3/mmc (No. 194)
Unique sites:
Be 0.3333 0.6667 0.2500 x2
Os 0.3333 0.6667 0.7500 x2

Properties
Crystal system: hexagonal
Final energy, eV/atom: -6.723

Record 20
Rb3In2F8: optimized geometry, PBE.

abc: 6.9083 6.9083 21.0659
angles: 90.00 90.00 120.00
Space group R-3m (No. 166, hexagonal axes)
Unique sites:
Rb 0.0000 0.0000 0.0000 x3
Rb 0.0000 0.0000 0.2019 x6
In 0.0000 0.0000 0.4261 x6
F 0.0000 0.0000 0.3293 x6
F 0.0130 0.5065 0.7691 x18

Properties
E_form (uncorrected), kJ/mol of atoms: -240.2
Crystal system: trigonal